(1)
# CdInPt2, optimized geometry, DFT PBE
# M_tot = 0.00 μB/f.u.
# Energy of formation = -0.196 eV per atom
# Mass density = 12.4 g/cm3
# SG = R3m (160)
# Raw total energy = -16.52 eV per cell
data_CdInPt2
_cell_length_a 5.895
_cell_length_b 5.895
_cell_length_c 5.895
_cell_angle_alpha 41.84
_cell_angle_beta 41.84
_cell_angle_gamma 41.84
_space_group_name_H-M_alt 'P 1'
_space_group_IT_number 1
_space_group_name_Hall 'P 1'
loop_
_atom_site_label
_atom_site_fract_x
_atom_site_fract_y
_atom_site_fract_z
_atom_site_occupancy
Cd1 0.000 0.000 0.000 1
In1 0.820 0.820 0.820 1
Pt1 0.237 0.237 0.237 1
Pt2 0.414 0.414 0.414 1

(2)
# Cd2InPt, optimized geometry, DFT PBE
# M_tot = 0.00 μB/f.u.
# Energy of formation = -0.158 eV per atom
# Mass density = 11.3 g/cm3
# SG = I4/mmm (139)
# Raw total energy = -11.24 eV per cell
data_Cd2InPt
_cell_length_a 5.306
_cell_length_b 5.306
_cell_length_c 5.306
_cell_angle_alpha 132.96
_cell_angle_beta 132.96
_cell_angle_gamma 68.72
_space_group_name_H-M_alt 'P 1'
_space_group_IT_number 1
_space_group_name_Hall 'P 1'
loop_
_atom_site_label
_atom_site_fract_x
_atom_site_fract_y
_atom_site_fract_z
_atom_site_occupancy
Cd1 0.250 0.750 0.500 1
Cd2 0.750 0.250 0.500 1
In1 0.000 0.000 0.000 1
Pt1 0.500 0.500 0.000 1

(3)
# CdInPt6, optimized geometry, DFT PBE
# M_tot = 0.00 μB/f.u.
# Energy of formation = -0.278 eV per atom
# Mass density = 17.6 g/cm3
# SG = P4/mmm (123)
# Raw total energy = -42.12 eV per cell
data_CdInPt6
_cell_length_a 4.045
_cell_length_b 4.045
_cell_length_c 8.084
_cell_angle_alpha 90.00
_cell_angle_beta 90.00
_cell_angle_gamma 90.00
_space_group_name_H-M_alt 'P 1'
_space_group_IT_number 1
_space_group_name_Hall 'P 1'
loop_
_atom_site_label
_atom_site_fract_x
_atom_site_fract_y
_atom_site_fract_z
_atom_site_occupancy
Cd1 0.000 0.000 0.000 1
In1 0.000 0.000 0.500 1
Pt1 0.000 0.500 0.251 1
Pt2 0.000 0.500 0.749 1
Pt3 0.500 0.000 0.251 1
Pt4 0.500 0.000 0.749 1
Pt5 0.500 0.500 0.000 1
Pt6 0.500 0.500 0.500 1

(4)
# CdIn2Pt, optimized geometry, DFT PBE
# M_tot = 0.00 μB/f.u.
# Energy of formation = -0.223 eV per atom
# Mass density = 9.8 g/cm3
# SG = R3m (160)
# Raw total energy = -13.33 eV per cell
data_CdIn2Pt
_cell_length_a 5.680
_cell_length_b 5.680
_cell_length_c 5.680
_cell_angle_alpha 47.55
_cell_angle_beta 47.55
_cell_angle_gamma 47.55
_space_group_name_H-M_alt 'P 1'
_space_group_IT_number 1
_space_group_name_Hall 'P 1'
loop_
_atom_site_label
_atom_site_fract_x
_atom_site_fract_y
_atom_site_fract_z
_atom_site_occupancy
Cd1 0.000 0.000 0.000 1
In1 0.572 0.572 0.572 1
In2 0.781 0.781 0.781 1
Pt1 0.184 0.184 0.184 1

(5)
# Cd2InPt, optimized geometry, DFT PBE
# M_tot = 0.00 μB/f.u.
# Energy of formation = -0.130 eV per atom
# Mass density = 11.3 g/cm3
# SG = P4/mmm (123)
# Raw total energy = -11.13 eV per cell
data_Cd2InPt
_cell_length_a 4.227
_cell_length_b 4.227
_cell_length_c 4.403
_cell_angle_alpha 90.00
_cell_angle_beta 90.00
_cell_angle_gamma 90.00
_space_group_name_H-M_alt 'P 1'
_space_group_IT_number 1
_space_group_name_Hall 'P 1'
loop_
_atom_site_label
_atom_site_fract_x
_atom_site_fract_y
_atom_site_fract_z
_atom_site_occupancy
Cd1 0.000 0.500 0.000 1
Cd2 0.500 0.000 0.000 1
In1 0.000 0.000 0.500 1
Pt1 0.500 0.500 0.500 1

(6)
# CdIn2Pt, optimized geometry, DFT PBE
# M_tot = 0.00 μB/f.u.
# Energy of formation = -0.133 eV per atom
# Mass density = 9.6 g/cm3
# SG = P2/m (10)
# Raw total energy = -12.96 eV per cell
data_CdIn2Pt
_cell_length_a 4.021
_cell_length_b 4.260
_cell_length_c 5.572
_cell_angle_alpha 90.00
_cell_angle_beta 102.81
_cell_angle_gamma 90.00
_space_group_name_H-M_alt 'P 1'
_space_group_IT_number 1
_space_group_name_Hall 'P 1'
loop_
_atom_site_label
_atom_site_fract_x
_atom_site_fract_y
_atom_site_fract_z
_atom_site_occupancy
Cd1 0.000 0.000 0.000 1
In1 0.368 0.500 0.728 1
In2 0.632 0.500 0.272 1
Pt1 0.000 0.000 0.500 1

(7)
# CdIn2Pt, optimized geometry, DFT PBE
# M_tot = 0.00 μB/f.u.
# Energy of formation = 0.009 eV per atom
# Mass density = 10.4 g/cm3
# SG = C2/m (12)
# Raw total energy = -12.40 eV per cell
data_CdIn2Pt
_cell_length_a 5.430
_cell_length_b 5.430
_cell_length_c 3.371
_cell_angle_alpha 101.14
_cell_angle_beta 101.14
_cell_angle_gamma 113.19
_space_group_name_H-M_alt 'P 1'
_space_group_IT_number 1
_space_group_name_Hall 'P 1'
loop_
_atom_site_label
_atom_site_fract_x
_atom_site_fract_y
_atom_site_fract_z
_atom_site_occupancy
Cd1 0.000 0.000 0.000 1
In1 0.000 0.500 0.500 1
In2 0.500 0.000 0.500 1
Pt1 0.500 0.500 0.000 1

(8)
# Cd2InPt, optimized geometry, DFT PBE
# M_tot = 0.00 μB/f.u.
# Energy of formation = -0.125 eV per atom
# Mass density = 10.6 g/cm3
# SG = P4/mmm (123)
# Raw total energy = -11.11 eV per cell
data_Cd2InPt
_cell_length_a 3.124
_cell_length_b 3.124
_cell_length_c 8.617
_cell_angle_alpha 90.00
_cell_angle_beta 90.00
_cell_angle_gamma 90.00
_space_group_name_H-M_alt 'P 1'
_space_group_IT_number 1
_space_group_name_Hall 'P 1'
loop_
_atom_site_label
_atom_site_fract_x
_atom_site_fract_y
_atom_site_fract_z
_atom_site_occupancy
Cd1 0.000 0.000 0.211 1
Cd2 0.000 0.000 0.789 1
In1 0.500 0.500 0.500 1
Pt1 0.500 0.500 0.000 1